one) Crystalline TbY2Tl at its relaxed geometry, computed with PBE.

abc: 4.842 4.886 4.886
angles: 90.00 90.00 90.00
Element x y z (fractional)
Y (0.000, 0.000, 0.500)
Y (0.000, 0.500, 0.000)
Tl (0.500, 0.000, 0.000)
Tb (0.500, 0.500, 0.500)

Values from the calculation:
Symmetry: No. 123

two) Crystalline TbY2Tl at its relaxed geometry, computed with PBE.

abc: 5.489 5.489 5.489
angles: 60.00 60.00 60.00
Element x y z (fractional)
Tb (0.500, 0.500, 0.500)
Y (0.000, 0.000, 0.000)
Y (0.250, 0.250, 0.250)
Tl (0.750, 0.750, 0.750)

Values from the calculation:
Symmetry: No. 216

In terms of stability, one) leads; the second structure lies 0.161 eV/atom higher.